This record from Alexandria via LeMat-Bulk describes Mo2Os2Pt after structural relaxation. The functional is PBE.

Cell and atoms, written as POSCAR:
```
Mo2Os2Pt
1.0
1.380 -10.029 0.000
1.380 10.029 0.000
0.000 0.000 2.806
Mo Os Pt
2 2 1
Direct
0.103 0.897 0.000
0.897 0.103 0.000
0.306 0.694 0.500
0.694 0.306 0.500
0.500 0.500 0.500
```

For the calculated formation energy, the calculation gives 91 meV per atom. As for the space group: No. 65. The calculation puts the theoretical density at 16.40 g cm⁻³.



This record from Alexandria via LeMat-Bulk describes NaSe3 after structural relaxation. The functional is PBE.

Cell and atoms, written as POSCAR:
```
NaSe3
1.0
4.333 -4.563 0.000
4.333 4.563 0.000
-2.234 0.000 5.621
Na Se
2 6
Direct
0.212 0.212 0.307
0.788 0.788 0.693
0.174 0.174 0.787
0.213 0.703 0.294
0.297 0.787 0.706
0.703 0.213 0.294
0.787 0.297 0.706
0.826 0.826 0.213
```

As for the space group: No. 12. For the energy relative to the lowest polymorph listed for this composition, the calculation gives 0.000 eV/atom. The formation energy from raw total energies comes out at -373 meV per atom. The calculation puts the theoretical density at 3.88 g cm⁻³.



This record from Alexandria via LeMat-Bulk describes K8HgO2 after structural relaxation. The functional is PBE.

Cell and atoms, written as POSCAR:
```
K8HgO2
1.0
7.744 -4.134 0.000
7.744 4.134 0.000
-1.947 0.000 7.525
K Hg O
8 1 2
Direct
0.095 0.589 0.186
0.143 0.143 0.197
0.356 0.356 0.776
0.411 0.905 0.814
0.589 0.095 0.186
0.644 0.644 0.224
0.857 0.857 0.803
0.905 0.411 0.814
0.000 0.000 0.500
0.253 0.253 0.994
0.747 0.747 0.006
```

As for the space group: No. 12. The formation energy from raw total energies comes out at -582 meV per atom. The calculation puts the theoretical density at 1.88 g cm⁻³.



This record from Alexandria via LeMat-Bulk describes SrZn2Si after structural relaxation. The functional is PBE.

Cell and atoms, written as POSCAR:
```
SrZn2Si
1.0
0.000 3.468 3.468
3.468 0.000 3.468
3.468 3.468 0.000
Sr Zn Si
1 2 1
Direct
0.000 0.000 0.000
0.250 0.250 0.250
0.750 0.750 0.750
0.500 0.500 0.500
```

As for the space group: No. 225. The formation energy from raw total energies comes out at 24 meV per atom. The calculation puts the theoretical density at 4.91 g cm⁻³.



This record from Alexandria via LeMat-Bulk describes ReF5 after structural relaxation. The functional is PBE.

Cell and atoms, written as POSCAR:
```
ReF5
1.0
4.685 -2.947 0.000
4.685 2.947 0.000
-3.122 0.000 6.996
Re F
2 10
Direct
0.000 0.000 0.000
0.000 0.000 0.500
0.102 0.309 0.635
0.120 0.880 0.750
0.204 0.643 0.040
0.309 0.102 0.135
0.357 0.796 0.460
0.643 0.204 0.540
0.691 0.898 0.865
0.796 0.357 0.960
0.880 0.120 0.250
0.898 0.691 0.365
```

As for the space group: No. 15. The formation energy from raw total energies comes out at -2033 meV per atom. The calculation puts the theoretical density at 4.84 g cm⁻³.



This record from Alexandria via LeMat-Bulk describes PBrO after structural relaxation. The functional is PBE.

Cell and atoms, written as POSCAR:
```
PBrO
1.0
4.782 0.000 0.000
0.859 5.834 0.000
0.342 1.363 6.107
P Br O
2 2 2
Direct
0.128 0.049 0.321
0.872 0.951 0.679
0.226 0.704 0.206
0.774 0.296 0.794
0.211 0.959 0.588
0.789 0.041 0.412
```

As for the space group: No. 2. The formation energy from raw total energies comes out at -911 meV per atom. The calculation puts the theoretical density at 2.47 g cm⁻³.



This record from Alexandria via LeMat-Bulk describes RbAsS2N after structural relaxation. The functional is PBE.

Cell and atoms, written as POSCAR:
```
RbAsS2N
1.0
6.054 0.000 0.000
0.000 6.054 0.000
0.000 0.000 5.320
Rb As S N
1 1 2 1
Direct
0.000 0.000 0.000
0.500 0.500 0.500
0.000 0.500 0.000
0.500 0.000 0.000
0.000 0.000 0.500
```

As for the space group: No. 123. For the energy relative to the lowest polymorph listed for this composition, the calculation gives 1.564 eV/atom. The formation energy from raw total energies comes out at 2018 meV per atom. The calculation puts the theoretical density at 2.03 g cm⁻³.



This record from Alexandria via LeMat-Bulk describes Ta3O7F after structural relaxation. The functional is PBE.

Cell and atoms, written as POSCAR:
```
Ta3O7F
1.0
3.254 -5.404 0.000
3.254 5.404 0.000
0.000 0.000 3.877
Ta O F
3 7 1
Direct
0.000 0.000 0.000
0.302 0.698 0.000
0.698 0.302 0.000
0.000 0.000 0.500
0.045 0.338 0.000
0.314 0.686 0.500
0.338 0.045 0.000
0.662 0.955 0.000
0.686 0.314 0.500
0.955 0.662 0.000
0.500 0.500 0.000
```

As for the space group: No. 65. For the energy relative to the lowest polymorph listed for this composition, the calculation gives 0.000 eV/atom. The formation energy from raw total energies comes out at -2895 meV per atom. The calculation puts the theoretical density at 8.21 g cm⁻³.